Material: Rb3Dy5O12
Method: DFT, PBE
State: optimized geometry

Summary:
**Crystal system**: cubic
**Magnetic moment**: 24.00 μB/cell
**Energy relative to the elements, uncorrected**: -2.133 eV per atom

Unit cell a=12.8131 b=12.8131 c=12.8131 alpha=109.47 beta=109.47 gamma=109.47
Element x y z (fractional)
1 Rb 0.3750 0.7500 0.6250
2 Rb 0.7500 0.8750 0.6250
3 Rb 0.3750 0.6250 0.2500
4 Rb 0.6250 0.2500 0.3750
5 Rb 0.8750 0.1250 0.2500
6 Rb 0.7500 0.3750 0.1250
7 Rb 0.2500 0.6250 0.8750
8 Rb 0.8750 0.7500 0.1250
9 Rb 0.6250 0.3750 0.7500
10 Rb 0.2500 0.1250 0.3750
11 Rb 0.1250 0.2500 0.8750
12 Rb 0.1250 0.8750 0.7500
13 O 0.6852 0.5804 0.1804
14 O 0.1852 0.6804 0.0804
15 O 0.1000 0.9196 0.1048
16 O 0.3196 0.8148 0.4196
17 O 0.4196 0.1048 0.6000
18 O 0.6048 0.0048 0.1852
19 O 0.9196 0.1000 0.6048
20 O 0.5804 0.8952 0.4000
21 O 0.6804 0.1852 0.5804
22 O 0.0048 0.6048 0.6852
23 O 0.0804 0.1804 0.1852
24 O 0.0048 0.4000 0.8196
25 O 0.3148 0.4196 0.8196
26 O 0.3952 0.4000 0.0804
27 O 0.1804 0.1000 0.9952
28 O 0.9952 0.3952 0.3148
29 O 0.6048 0.6000 0.9196
30 O 0.9196 0.8196 0.8148
31 O 0.9952 0.6000 0.1804
32 O 0.9000 0.0804 0.8952
33 O 0.3952 0.9952 0.8148
34 O 0.6852 0.1048 0.0048
35 O 0.9000 0.8196 0.5048
36 O 0.6804 0.4952 0.6000
37 O 0.1804 0.0804 0.6852
38 O 0.4952 0.8148 0.8952
39 O 0.1048 0.6852 0.5048
40 O 0.4952 0.6804 0.1000
41 O 0.1048 0.4196 0.1000
42 O 0.6000 0.9952 0.6804
43 O 0.5804 0.6852 0.6804
44 O 0.8952 0.5804 0.9000
45 O 0.5048 0.3196 0.9000
46 O 0.6000 0.6048 0.4196
47 O 0.8148 0.3196 0.9196
48 O 0.4000 0.3952 0.5804
49 O 0.8196 0.9196 0.3148
50 O 0.5048 0.1852 0.1048
51 O 0.8196 0.9000 0.0048
52 O 0.8952 0.3148 0.4952
53 O 0.3148 0.8952 0.9952
54 O 0.0804 0.9000 0.3952
55 O 0.1852 0.5048 0.6048
56 O 0.3196 0.5048 0.4000
57 O 0.4000 0.0048 0.3196
58 O 0.1000 0.1804 0.4952
59 O 0.8148 0.4952 0.3952
60 O 0.4196 0.3148 0.3196
61 Dy 0.0000 0.0000 0.0000
62 Dy 0.5000 0.0000 0.5000
63 Dy 0.6250 0.8750 0.2500
64 Dy 0.3750 0.2500 0.1250
65 Dy 0.5000 0.0000 0.0000
66 Dy 0.2500 0.3750 0.6250
67 Dy 0.1250 0.3750 0.2500
68 Dy 0.0000 0.5000 0.5000
69 Dy 0.0000 0.0000 0.5000
70 Dy 0.5000 0.5000 0.0000
71 Dy 0.2500 0.8750 0.1250
72 Dy 0.7500 0.6250 0.3750
73 Dy 0.0000 0.5000 0.0000
74 Dy 0.6250 0.7500 0.8750
75 Dy 0.7500 0.1250 0.8750
76 Dy 0.5000 0.5000 0.5000
77 Dy 0.3750 0.1250 0.7500
78 Dy 0.8750 0.6250 0.7500
79 Dy 0.8750 0.2500 0.6250
80 Dy 0.1250 0.7500 0.3750

***

Material: RbDy2O
Method: DFT, PBE
State: optimized geometry

Summary:
**Crystal system**: trigonal
**Magnetic moment**: 0.00 μB/cell
**Energy relative to the elements, uncorrected**: -1.022 eV per atom

Unit cell a=3.5843 b=3.5843 c=10.3665 alpha=80.04 beta=80.04 gamma=60.00
Element x y z (fractional)
1 Dy 0.8759 0.8759 0.3724
2 Dy 0.1241 0.1241 0.6276
3 O 0.5000 0.5000 0.5000
4 Rb 0.0000 0.0000 0.0000

***

Material: Rb3DyO3
Method: DFT, PBE
State: optimized geometry

Summary:
**Crystal system**: monoclinic
**Magnetic moment**: 0.47 μB/cell
**Energy relative to the elements, uncorrected**: -1.923 eV per atom

Unit cell a=7.4393 b=7.8420 c=11.9589 alpha=86.39 beta=90.00 gamma=90.00
Element x y z (fractional)
1 Dy 0.0915 0.8400 0.0707
2 Dy 0.4085 0.8400 0.5707
3 Dy 0.9085 0.1600 0.9293
4 Dy 0.5915 0.1600 0.4293
5 O 0.9468 0.7002 0.1977
6 O 0.6438 0.2585 0.9471
7 O 0.4468 0.2998 0.3023
8 O 0.9501 0.8827 0.9092
9 O 0.1438 0.7415 0.5529
10 O 0.0499 0.1173 0.0908
11 O 0.4501 0.1173 0.5908
12 O 0.8562 0.2585 0.4471
13 O 0.0532 0.2998 0.8023
14 O 0.5532 0.7002 0.6977
15 O 0.5499 0.8827 0.4092
16 O 0.3562 0.7415 0.0529
17 Rb 0.6574 0.6467 0.9204
18 Rb 0.6930 0.3806 0.6888
19 Rb 0.8426 0.6467 0.4204
20 Rb 0.8070 0.3806 0.1888
21 Rb 0.1242 0.0777 0.3381
22 Rb 0.3070 0.6194 0.3112
23 Rb 0.3758 0.0777 0.8381
24 Rb 0.3426 0.3533 0.0796
25 Rb 0.8758 0.9223 0.6619
26 Rb 0.1930 0.6194 0.8112
27 Rb 0.1574 0.3533 0.5796
28 Rb 0.6242 0.9223 0.1619

***

Material: Rb3DyO3
Method: DFT, PBE
State: optimized geometry

Summary:
**Crystal system**: monoclinic
**Magnetic moment**: 0.25 μB/cell
**Energy relative to the elements, uncorrected**: -1.911 eV per atom

Unit cell a=7.3655 b=7.3655 c=7.3368 alpha=85.33 beta=85.33 gamma=116.96
Element x y z (fractional)
1 O 0.5530 0.8309 0.2675
2 O 0.1049 0.1049 0.1529
3 O 0.8951 0.8951 0.8471
4 O 0.1691 0.4470 0.7325
5 O 0.4470 0.1691 0.7325
6 O 0.8309 0.5530 0.2675
7 Rb 0.2596 0.7404 0.0000
8 Rb 0.7896 0.2104 0.5000
9 Rb 0.6404 0.6404 0.6412
10 Rb 0.7404 0.2596 0.0000
11 Rb 0.3596 0.3596 0.3588
12 Rb 0.2104 0.7896 0.5000
13 Dy 0.1781 0.1781 0.8502
14 Dy 0.8219 0.8219 0.1498

***

Material: RbDyO3
Method: DFT, PBE
State: optimized geometry

Summary:
**Crystal system**: cubic
**Magnetic moment**: 2.00 μB/cell
**Energy relative to the elements, uncorrected**: -1.872 eV per atom

Unit cell a=4.5153 b=4.5153 c=4.5153 alpha=90.00 beta=90.00 gamma=90.00
Element x y z (fractional)
1 O 0.5000 0.5000 0.0000
2 O 0.5000 0.0000 0.5000
3 O 0.0000 0.5000 0.5000
4 Dy 0.5000 0.5000 0.5000
5 Rb 0.0000 0.0000 0.0000

***

Material: Rb3Dy2O4
Method: DFT, PBE
State: optimized geometry

Summary:
**Crystal system**: monoclinic
**Magnetic moment**: 0.18 μB/cell
**Energy relative to the elements, uncorrected**: -2.107 eV per atom

Unit cell a=3.8473 b=6.8947 c=8.6784 alpha=82.41 beta=77.19 gamma=73.80
Element x y z (fractional)
1 O 0.1932 0.9746 0.6390
2 O 0.5596 0.7213 0.1595
3 O 0.8068 0.0254 0.3610
4 O 0.4404 0.2787 0.8405
5 Dy 0.3844 0.8572 0.3740
6 Dy 0.6156 0.1428 0.6260
7 Rb 0.0000 0.0000 0.0000
8 Rb 0.8013 0.5815 0.8158
9 Rb 0.1987 0.4185 0.1842

***

Material: Rb5DyO4
Method: DFT, PBE
State: optimized geometry

Summary:
**Crystal system**: orthorhombic
**Magnetic moment**: 0.15 μB/cell
**Energy relative to the elements, uncorrected**: -1.646 eV per atom

Unit cell a=6.6565 b=9.1576 c=8.5553 alpha=90.00 beta=90.00 gamma=90.00
Element x y z (fractional)
1 O 0.6130 0.5000 0.2840
2 O 0.9627 0.7017 0.5000
3 O 0.0373 0.2017 0.0000
4 O 0.9627 0.2983 0.5000
5 O 0.6130 0.5000 0.7160
6 O 0.3870 0.0000 0.7840
7 O 0.0373 0.7983 0.0000
8 O 0.3870 0.0000 0.2160
9 Rb 0.1743 0.0000 0.5000
10 Rb 0.7415 0.1889 0.2368
11 Rb 0.8257 0.5000 0.0000
12 Rb 0.7415 0.8111 0.7632
13 Rb 0.7415 0.8111 0.2368
14 Rb 0.2585 0.6889 0.2632
15 Rb 0.7415 0.1889 0.7632
16 Rb 0.2585 0.6889 0.7368
17 Rb 0.2585 0.3111 0.2632
18 Rb 0.2585 0.3111 0.7368
19 Dy 0.7861 0.5000 0.5000
20 Dy 0.2139 0.0000 0.0000

***

Material: RbDyReO6
Method: DFT, PBE
State: optimized geometry

Summary:
**Crystal system**: monoclinic
**Magnetic moment**: 1.06 μB/cell
**Energy relative to the elements, uncorrected**: -2.003 eV per atom

Unit cell a=5.8211 b=5.7652 c=5.9196 alpha=88.87 beta=89.44 gamma=60.32
Element x y z (fractional)
1 O 0.0392 0.5805 0.6543
2 O 0.3857 0.0423 0.6918
3 O 0.5705 0.0508 0.3025
4 O 0.0392 0.3802 0.3457
5 O 0.3857 0.5720 0.3082
6 O 0.5705 0.3787 0.6975
7 Rb 0.0047 0.9976 0.0000
8 Re 0.3631 0.3184 0.5000
9 Dy 0.6411 0.6795 0.5000